No. 1
Entry from the Alexandria database: crystalline SrLa2SnS at its relaxed geometry (PBE).

Cell and atoms, written as POSCAR:
```
SrLa2SnS
1.0
6.4496 0.0000 0.0000
0.0000 5.2752 0.0000
0.0000 0.0000 6.4496
Sn S La Sr
1 1 2 1
Direct
0.5000 0.5000 0.5000
0.0000 0.5000 0.0000
0.5000 0.0000 0.0000
0.0000 0.0000 0.5000
0.0000 0.0000 0.0000
```

DOS at the Fermi energy   6.5 states/eV/f.u.
E_tot   -17.7 eV/cell

---

No. 2
Entry from the Alexandria database: crystalline K2NbBr7 at its relaxed geometry (PBE).

Cell and atoms, written as POSCAR:
```
K2NbBr7
1.0
-7.5599 3.1226 1.7514
-8.0237 -5.0854 -5.5921
-4.6950 -4.0819 6.9872
Br Nb K
14 2 4
Direct
0.4005 0.7500 0.2500
0.0458 0.6769 0.5447
0.9193 0.7097 0.0673
0.9630 0.9915 0.3103
0.9542 0.3231 0.4553
0.5995 0.2500 0.7500
0.0807 0.2903 0.9327
0.3036 0.2097 0.5673
0.7326 0.1769 0.0447
0.2648 0.5085 0.1897
0.2674 0.8231 0.9553
0.7352 0.4915 0.8103
0.6964 0.7903 0.4327
0.0370 0.0085 0.6897
0.0651 0.7500 0.2500
0.9349 0.2500 0.7500
0.6502 0.9463 0.7187
0.6849 0.4463 0.2187
0.3151 0.5537 0.7813
0.3498 0.0537 0.2813
```

E_tot   -70.0 eV/cell

---

No. 3
Entry from the Alexandria database: crystalline Fe2CoCuH at its relaxed geometry (PBE).

Cell and atoms, written as POSCAR:
```
Fe2CoCuH
1.0
3.6424 0.0000 0.0000
0.0000 3.6424 0.0000
0.0000 0.0000 3.6545
Cu Co Fe H
1 1 2 1
Direct
0.0000 0.0000 0.5000
0.5000 0.5000 0.5000
0.0000 0.5000 0.0000
0.5000 0.0000 0.0000
0.0000 0.0000 0.0000
```

DOS at the Fermi energy   2.7 states/eV/f.u.
E_tot   -31.0 eV/cell

---

No. 4
Entry from the Alexandria database: crystalline CePuHgRh at its relaxed geometry (PBE).

Cell and atoms, written as POSCAR:
```
CePuHgRh
1.0
-3.9658 -0.8747 -3.1220
0.1053 -3.9821 -3.2205
-3.0565 -4.0301 0.8094
Hg Ce Rh Pu
1 1 1 1
Direct
0.7500 0.7500 0.7500
0.5000 0.5000 0.5000
0.2500 0.2500 0.2500
0.0000 0.0000 0.0000
```

DOS at the Fermi energy   12.7 states/eV/f.u.
Formation energy   -1.1 eV/f.u.
E_tot   -29.0 eV/cell

---

No. 5
Entry from the Alexandria database: crystalline CdAu2Se at its relaxed geometry (PBE).

Cell and atoms, written as POSCAR:
```
CdAu2Se
1.0
-1.1984 3.4400 -3.7994
-1.4729 -2.5551 -4.3597
-1.5267 -0.3994 5.0214
Au Se Cd
2 1 1
Direct
0.0000 0.0000 0.0000
0.2500 0.7500 0.5000
0.7500 0.2500 0.5000
0.5000 0.5000 0.0000
```

DOS at the Fermi energy   0.7 states/eV/f.u.
E_tot   -10.7 eV/cell

---

No. 6
Entry from the Alexandria database: crystalline Li4ZnCd at its relaxed geometry (PBE).

Cell and atoms, written as POSCAR:
```
Li4ZnCd
1.0
-0.2841 -4.4973 0.7407
1.8747 -0.9596 -5.1063
8.4397 -0.5045 0.1747
Li Zn Cd
8 2 2
Direct
0.7500 0.0014 0.9139
0.7499 0.7483 0.5849
0.7500 0.5018 0.9200
0.2500 0.9986 0.0861
0.2501 0.2517 0.4151
0.2500 0.4982 0.0800
0.7501 0.2391 0.5817
0.2499 0.7609 0.4183
0.7500 0.1251 0.2510
0.2500 0.8749 0.7490
0.2500 0.3739 0.7499
0.7500 0.6261 0.2501
```

DOS at the Fermi energy   2.1 states/eV/f.u.
Formation energy   -1.0 eV/f.u.
E_tot   -21.6 eV/cell

---

No. 7
Entry from the Alexandria database: crystalline GdAlTl2 at its relaxed geometry (PBE).

Cell and atoms, written as POSCAR:
```
GdAlTl2
1.0
-1.9916 0.5965 4.1492
3.9771 -1.1493 2.0742
1.2941 4.4459 -0.0179
Tl Al Gd
2 1 1
Direct
0.0000 0.0000 0.5000
0.0000 0.5000 0.0000
0.5000 0.0000 0.0000
0.5000 0.5000 0.5000
```

DOS at the Fermi energy   1.5 states/eV/f.u.
Formation energy   -0.9 eV/f.u.
E_tot   -23.4 eV/cell

---

No. 8
Entry from the Alexandria database: crystalline PrInHgO at its relaxed geometry (PBE).

Cell and atoms, written as POSCAR:
```
PrInHgO
1.0
4.1918 0.0000 0.0000
0.0000 4.1918 0.0000
0.0000 0.0000 10.9797
Pr In O Hg
2 2 2 2
Direct
0.5000 0.0000 0.1033
0.0000 0.5000 0.8967
0.5000 0.5000 0.5000
0.0000 0.0000 0.5000
0.0000 0.0000 0.0000
0.5000 0.5000 0.0000
0.5000 0.0000 0.7199
0.0000 0.5000 0.2801
```

DOS at the Fermi energy   1.9 states/eV/f.u.
E_tot   -37.4 eV/cell

---

No. 9
Entry from the Alexandria database: crystalline RbGa5Au3 at its relaxed geometry (PBE).

Cell and atoms, written as POSCAR:
```
RbGa5Au3
1.0
4.3071 0.0000 0.0000
-2.1536 6.7112 0.0000
0.0000 0.0000 13.9232
Rb Ga Au
2 10 6
Direct
0.8263 0.6526 0.7500
0.1737 0.3474 0.2500
0.8117 0.6233 0.0743
0.4592 0.9183 0.3506
0.5408 0.0817 0.6494
0.1883 0.3767 0.9257
0.8117 0.6233 0.4257
0.1883 0.3767 0.5743
0.5408 0.0817 0.8506
0.0000 0.0000 0.5000
0.0000 0.0000 0.0000
0.4592 0.9183 0.1494
0.6239 0.2477 0.0376
0.1020 0.2039 0.7500
0.8980 0.7961 0.2500
0.3761 0.7523 0.9624
0.3761 0.7523 0.5376
0.6239 0.2477 0.4624
```

DOS at the Fermi energy   4.0 states/eV/f.u.
Formation energy   -2.1 eV/f.u.
E_tot   -56.0 eV/cell

---

No. 10
Entry from the Alexandria database: crystalline Pa5Ni2Ge5 at its relaxed geometry (PBE).

Cell and atoms, written as POSCAR:
```
Pa5Ni2Ge5
1.0
-1.6709 3.2391 1.7142
0.9137 -0.9846 7.4828
6.3523 5.8420 -0.1155
Ni Pa Ge
2 5 5
Direct
0.8449 0.5302 0.7799
0.1551 0.4698 0.2201
0.3987 0.2960 0.9066
0.6013 0.7040 0.0934
0.5000 0.5000 0.5000
0.3263 0.0437 0.3038
0.6737 0.9563 0.6962
0.2434 0.6956 0.8175
0.7566 0.3044 0.1825
0.0000 0.0000 0.0000
0.0694 0.2382 0.6231
0.9306 0.7618 0.3769
```

DOS at the Fermi energy   16.0 states/eV/f.u.
Formation energy   -6.0 eV/f.u.
E_tot   -88.2 eV/cell

---

No. 11
Entry from the Alexandria database: crystalline P2S2N at its relaxed geometry (PBE).

Cell and atoms, written as POSCAR:
```
P2S2N
1.0
4.1007 0.0000 0.0000
0.0000 4.1007 0.0000
0.0000 0.0000 4.1324
N P S
1 2 2
Direct
0.0000 0.0000 0.0000
0.0000 0.0000 0.5000
0.5000 0.5000 0.5000
0.0000 0.5000 0.0000
0.5000 0.0000 0.0000
```

DOS at the Fermi energy   3.5 states/eV/f.u.
E_tot   -21.0 eV/cell

---

No. 12
Entry from the Alexandria database: crystalline LaSm4Tm5 at its relaxed geometry (PBE).

Cell and atoms, written as POSCAR:
```
LaSm4Tm5
1.0
5.9754 0.0000 0.0000
2.9877 7.4569 0.0000
2.9877 0.0000 7.4569
La Tm Sm
1 5 4
Direct
0.1997 0.0000 0.0000
0.6746 0.0000 0.0000
0.1238 0.6203 0.0000
0.1238 0.0000 0.6203
0.7442 0.3797 0.0000
0.7441 0.0000 0.3797
0.8024 0.6727 0.6726
0.1477 0.3273 0.3274
0.4750 0.3274 0.6727
0.4750 0.6726 0.3273
```

DOS at the Fermi energy   13.9 states/eV/f.u.
Formation energy   2.6 eV/f.u.
E_tot   -43.5 eV/cell

---

No. 13
Entry from the Alexandria database: crystalline HoSc2Hg at its relaxed geometry (PBE).

Cell and atoms, written as POSCAR:
```
HoSc2Hg
1.0
5.1379 0.0000 0.0000
2.5689 4.4495 0.0000
2.5689 1.4832 4.1955
Sc Hg Ho
2 1 1
Direct
0.7501 0.7501 0.7497
0.2499 0.2499 0.2503
0.5000 0.5000 0.5000
0.0000 0.0000 0.0000
```

DOS at the Fermi energy   7.0 states/eV/f.u.
Formation energy   -0.1 eV/f.u.
E_tot   -17.7 eV/cell

---

No. 14
Entry from the Alexandria database: crystalline AlCr2Cu at its relaxed geometry (PBE).

Cell and atoms, written as POSCAR:
```
AlCr2Cu
1.0
4.0597 0.0000 0.0000
0.0000 2.5534 -0.0287
0.0000 0.5998 4.7966
Al Cr Cu
1 2 1
Direct
0.5000 0.6802 0.7535
0.5000 0.2074 0.2383
0.0000 0.0375 0.0111
0.0000 0.5749 0.4971
```

DOS at the Fermi energy   2.2 states/eV/f.u.
Formation energy   0.2 eV/f.u.
E_tot   -26.9 eV/cell

---

No. 15
Entry from the Alexandria database: crystalline NbGaSb at its relaxed geometry (PBE).

Cell and atoms, written as POSCAR:
```
NbGaSb
1.0
3.0146 0.0000 0.0000
0.0000 4.7883 0.0000
0.0000 -2.3942 4.1468
Ga Sb Nb
1 1 1
Direct
0.1671 0.0000 0.0000
0.6666 0.6667 0.3333
0.1662 0.3333 0.6667
```

DOS at the Fermi energy   1.9 states/eV/f.u.
E_tot   -16.7 eV/cell

---

No. 16
Entry from the Alexandria database: crystalline BaLiGa2Au at its relaxed geometry (PBE).

Cell and atoms, written as POSCAR:
```
BaLiGa2Au
1.0
4.8480 0.0000 0.0000
0.0000 4.8480 0.0000
-2.4240 -2.4240 5.0189
Ba Au Li Ga
1 1 1 2
Direct
0.0000 0.0000 0.0000
0.2500 0.7500 0.5000
0.7500 0.2500 0.5000
0.3724 0.3724 0.7449
0.6276 0.6276 0.2551
```

DOS at the Fermi energy   2.2 states/eV/f.u.
Formation energy   -2.2 eV/f.u.
E_tot   -15.4 eV/cell

---

No. 17
Entry from the Alexandria database: crystalline SrAsPt2 at its relaxed geometry (PBE).

Cell and atoms, written as POSCAR:
```
SrAsPt2
1.0
3.5894 0.0000 0.0000
0.0000 3.5834 0.0000
0.0000 0.0000 6.5556
Sr Pt As
1 2 1
Direct
0.0000 0.0000 0.4816
0.5000 0.5000 0.2072
0.0000 0.0000 0.9742
0.5000 0.5000 0.8370
```

DOS at the Fermi energy   2.5 states/eV/f.u.
Formation energy   -1.7 eV/f.u.
E_tot   -20.1 eV/cell

---

No. 18
Entry from the Alexandria database: crystalline NaAl3P at its relaxed geometry (PBE).

Cell and atoms, written as POSCAR:
```
NaAl3P
1.0
-0.9479 -1.1627 4.6345
-2.3085 -4.0254 -1.4820
4.1835 -2.4847 0.2323
Na Al P
1 3 1
Direct
0.5000 0.5000 0.5000
0.0000 0.0000 0.5000
0.5000 0.0000 0.0000
0.0000 0.5000 0.0000
0.0000 0.0000 0.0000
```

DOS at the Fermi energy   2.5 states/eV/f.u.
Formation energy   1.9 eV/f.u.
E_tot   -16.0 eV/cell

---

No. 19
Entry from the Alexandria database: crystalline AgTe2IF at its relaxed geometry (PBE).

Cell and atoms, written as POSCAR:
```
AgTe2IF
1.0
4.6091 0.0000 0.0000
0.0000 4.6091 0.0000
0.0000 0.0000 7.8268
Te F Ag I
2 1 1 1
Direct
0.5000 0.0000 0.0000
0.0000 0.5000 0.0000
0.0000 0.0000 0.0000
0.5000 0.5000 0.5000
0.0000 0.0000 0.5000
```

DOS at the Fermi energy   4.4 states/eV/f.u.
E_tot   -12.5 eV/cell

---

No. 20
Entry from the Alexandria database: crystalline KCuNiC at its relaxed geometry (PBE).

Cell and atoms, written as POSCAR:
```
KCuNiC
1.0
3.6885 0.0000 0.0000
0.0000 3.3216 0.0000
0.0000 0.0000 5.7476
Cu C Ni K
1 1 1 1
Direct
0.0000 0.5000 0.7671
0.5000 0.5000 0.6462
0.5000 0.0000 0.7764
0.0000 0.0000 0.2828
```

DOS at the Fermi energy   0.4 states/eV/f.u.
Formation energy   1.6 eV/f.u.
E_tot   -18.6 eV/cell